[1]
# La2Sm4Y5 | the Alexandria database | PBE | optimized geometry
data_La2Sm4Y5
_chemical_formula_sum 'La4 Sm8 Y10'
_space_group_name_H-M_alt 'C 1 2/m 1'
_space_group_IT_number 12
_space_group_name_Hall '-C 2y'
_cell_length_a 11.297
_cell_length_b 7.545
_cell_length_c 9.343
_cell_angle_alpha 90.00
_cell_angle_beta 107.84
_cell_angle_gamma 90.00
loop_
_atom_site_label
_atom_site_type_symbol
_atom_site_fract_x
_atom_site_fract_y
_atom_site_fract_z
_atom_site_occupancy
La1 La 0.146 0.000 0.129 1
Sm1 Sm 0.180 0.500 0.129 1
Sm2 Sm 0.181 0.500 0.498 1
Y1 Y 0.000 0.000 0.500 1
Y2 Y 0.065 0.283 0.780 1
# Polymorph energy (0 for the lowest one) (meV per atom): 38
# Calculated total energy (eV per atom): -5.42
# Volume (Å³ per atom): 34.5
# Formation energy from the elements (meV/atom): 134

=====

[2]
# BaLiPmGe | the Alexandria database | PBE | optimized geometry
data_BaLiPmGe
_chemical_formula_sum 'Ba4 Li4 Pm4 Ge4'
_space_group_name_H-M_alt 'F -4 3 m'
_space_group_IT_number 216
_space_group_name_Hall 'F -4 2 3'
_cell_length_a 7.748
_cell_length_b 7.748
_cell_length_c 7.748
_cell_angle_alpha 90.00
_cell_angle_beta 90.00
_cell_angle_gamma 90.00
loop_
_atom_site_label
_atom_site_type_symbol
_atom_site_fract_x
_atom_site_fract_y
_atom_site_fract_z
_atom_site_occupancy
Ba1 Ba 0.000 0.000 0.000 1
Li1 Li 0.250 0.250 0.750 1
Pm1 Pm 0.000 0.000 0.500 1
Ge1 Ge 0.250 0.250 0.250 1
# Calculated total energy (eV per atom): -3.54
# Volume (Å³ per atom): 29.1
# Formation energy from the elements (meV/atom): -234

=====

[3]
# Y4FeCu | the Alexandria database | PBE | optimized geometry
data_Y4FeCu
_chemical_formula_sum 'Y16 Fe4 Cu4'
_space_group_name_H-M_alt 'F -4 3 m'
_space_group_IT_number 216
_space_group_name_Hall 'F -4 2 3'
_cell_length_a 8.680
_cell_length_b 8.680
_cell_length_c 8.680
_cell_angle_alpha 90.00
_cell_angle_beta 90.00
_cell_angle_gamma 90.00
loop_
_atom_site_label
_atom_site_type_symbol
_atom_site_fract_x
_atom_site_fract_y
_atom_site_fract_z
_atom_site_occupancy
Y1 Y 0.125 0.125 0.125 1
Fe1 Fe 0.000 0.000 0.500 1
Cu1 Cu 0.250 0.250 0.750 1
# Calculated total energy (eV per atom): -5.49
# Volume (Å³ per atom): 27.2
# Formation energy from the elements (meV/atom): 909

=====

[4]
# LaVZn2Rh | the Alexandria database | PBE | optimized geometry
data_LaVZn2Rh
_chemical_formula_sum 'La1 V1 Zn2 Rh1'
_space_group_name_H-M_alt 'P 4/m m m'
_space_group_IT_number 123
_space_group_name_Hall '-P 4 2'
_cell_length_a 4.868
_cell_length_b 4.868
_cell_length_c 4.509
_cell_angle_alpha 90.00
_cell_angle_beta 90.00
_cell_angle_gamma 90.00
loop_
_atom_site_label
_atom_site_type_symbol
_atom_site_fract_x
_atom_site_fract_y
_atom_site_fract_z
_atom_site_occupancy
La1 La 0.000 0.000 0.000 1
V1 V 0.500 0.500 0.500 1
Zn1 Zn 0.000 0.500 0.500 1
Rh1 Rh 0.500 0.500 0.000 1
# Calculated total energy (eV per atom): -4.70
# Volume (Å³ per atom): 21.4
# Formation energy from the elements (meV/atom): 87

=====

[5]
# CeNiH6Ru | the Alexandria database | PBE | optimized geometry
data_CeNiH6Ru
_chemical_formula_sum 'Ce1 Ni1 H6 Ru1'
_space_group_name_H-M_alt 'P -6 m 2'
_space_group_IT_number 187
_space_group_name_Hall 'P -6 2'
_cell_length_a 4.5542
_cell_length_b 4.5542
_cell_length_c 4.2787
_cell_angle_alpha 90.00
_cell_angle_beta 90.00
_cell_angle_gamma 120.00
loop_
_atom_site_label
_atom_site_type_symbol
_atom_site_fract_x
_atom_site_fract_y
_atom_site_fract_z
_atom_site_occupancy
Ce1 Ce 0.0000 0.0000 0.0000 1
Ni1 Ni 0.3333 0.6667 0.5000 1
H1 H 0.0035 0.5018 0.2377 1
Ru1 Ru 0.6667 0.3333 0.5000 1
# Calculated total energy (eV per atom): -4.85
# Volume (Å³ per atom): 8.5

=====

[6]
# Zr5ZnRu | the Alexandria database | PBE | optimized geometry
data_Zr5ZnRu
_chemical_formula_sum 'Zr20 Zn4 Ru4'
_space_group_name_H-M_alt 'C 1 2/c 1'
_space_group_IT_number 15
_space_group_name_Hall '-C 2yc'
_cell_length_a 7.860
_cell_length_b 8.132
_cell_length_c 9.298
_cell_angle_alpha 90.00
_cell_angle_beta 92.08
_cell_angle_gamma 90.00
loop_
_atom_site_label
_atom_site_type_symbol
_atom_site_fract_x
_atom_site_fract_y
_atom_site_fract_z
_atom_site_occupancy
Zr1 Zr 0.000 0.147 0.250 1
Zr2 Zr 0.163 0.396 0.498 1
Zr3 Zr 0.174 0.205 0.838 1
Zn1 Zn 0.000 0.499 0.750 1
Ru1 Ru 0.000 0.000 0.000 1
# Calculated total energy (eV per atom): -7.70
# Volume (Å³ per atom): 21.2
# Formation energy from the elements (meV/atom): -85

=====

Among the records above, which one has the highest volume? La2Sm4Y5

=====

Which of these has the lowest volume? CeNiH6Ru

=====

Number 1 is which compound? La2Sm4Y5

=====

What did the third record say?
# Y4FeCu | the Alexandria database | PBE | optimized geometry
data_Y4FeCu
_chemical_formula_sum 'Y16 Fe4 Cu4'
_space_group_name_H-M_alt 'F -4 3 m'
_space_group_IT_number 216
_space_group_name_Hall 'F -4 2 3'
_cell_length_a 8.680
_cell_length_b 8.680
_cell_length_c 8.680
_cell_angle_alpha 90.00
_cell_angle_beta 90.00
_cell_angle_gamma 90.00
loop_
_atom_site_label
_atom_site_type_symbol
_atom_site_fract_x
_atom_site_fract_y
_atom_site_fract_z
_atom_site_occupancy
Y1 Y 0.125 0.125 0.125 1
Fe1 Fe 0.000 0.000 0.500 1
Cu1 Cu 0.250 0.250 0.750 1
# Calculated total energy (eV per atom): -5.49
# Volume (Å³ per atom): 27.2
# Formation energy from the elements (meV/atom): 909